Record 1
A plane-wave DFT calculation with GGA-PBE was carried out for a geometry-optimized Ac6NiRuPt2 structure.

D(E_F)	7.31	states/eV per cell
energy of formation from the pure elements	-543.4	kJ/mol of formula units
electronic total energy	-5.742	eV/atom

Cell lengths 7.528, 7.526, 8.226 Å; angles 62.79, 62.79, 60.09 degrees
Positions (direct):
Ac 0.589 0.233 0.249
Ac 0.234 0.929 0.249
Ac 0.929 0.588 0.250
Ac 0.426 0.726 0.757
Ac 0.725 0.092 0.757
Ac 0.091 0.426 0.757
Ni 0.829 0.829 0.514
Ru 0.326 0.326 0.023
Pt 0.506 0.506 0.482
Pt 0.007 0.007 0.979


Record 2
A plane-wave DFT calculation with GGA-PBE was carried out for a geometry-optimized Sm2CuNi4P3 structure.

D(E_F)	5.05	states/eV per cell
energy of formation from the pure elements	-844.0	kJ/mol of formula units
electronic total energy	-6.164	eV/atom

Cell lengths 3.988, 3.988, 9.291 Å; angles 90.00, 90.00, 90.00 degrees
Positions (direct):
Sm 0.500 0.000 0.248
Sm 0.000 0.500 0.752
Cu 0.500 0.500 0.500
Ni 0.500 0.500 0.000
Ni 0.000 0.000 0.000
Ni 0.500 0.000 0.626
Ni 0.000 0.500 0.374
P 0.000 0.000 0.500
P 0.500 0.000 0.868
P 0.000 0.500 0.132


Record 3
A plane-wave DFT calculation with GGA-PBE was carried out for a geometry-optimized Tb2Nd3Dy6In structure.

D(E_F)	16.70	states/eV per cell
energy of formation from the pure elements	-48.6	kJ/mol of formula units
electronic total energy	-4.535	eV/atom

Cell lengths 6.148, 6.148, 11.716 Å; angles 95.01, 95.01, 119.99 degrees
Positions (direct):
Tb 0.334 0.666 0.000
Tb 0.666 0.334 0.000
Nd 0.167 0.833 0.500
Nd 0.833 0.167 0.500
Nd 0.500 0.500 0.500
Dy 0.919 0.592 0.756
Dy 0.754 0.754 0.244
Dy 0.081 0.408 0.244
Dy 0.592 0.919 0.756
Dy 0.246 0.246 0.756
Dy 0.408 0.081 0.244
In 0.000 0.000 0.000


Record 4
A plane-wave DFT calculation with GGA-PBE was carried out for a geometry-optimized Ac3IrPd structure.

D(E_F)	7.73	states/eV per cell
energy of formation from the pure elements	-252.3	kJ/mol of formula units
electronic total energy	-5.799	eV/atom

Cell lengths 5.978, 7.103, 9.325 Å; angles 111.60, 90.00, 114.88 degrees
Positions (direct):
Ac 0.890 0.779 0.789
Ac 0.110 0.221 0.211
Ac 0.606 0.213 0.859
Ac 0.394 0.787 0.141
Ac 0.822 0.643 0.371
Ac 0.178 0.357 0.629
Ir 0.138 0.276 0.916
Ir 0.862 0.724 0.084
Pd 0.379 0.757 0.494
Pd 0.621 0.243 0.506


Record 5
A plane-wave DFT calculation with GGA-PBE was carried out for a geometry-optimized K2Tm2TiSe6 structure.

E_form (uncorrected)	-1.544	eV/atom
electronic total energy	-5.175	eV/atom

Cell lengths 6.869, 6.869, 8.212 Å; angles 98.47, 98.47, 119.54 degrees
Positions (direct):
K 0.828 0.172 0.000
K 0.172 0.828 0.000
Tm 0.333 0.667 0.500
Tm 0.667 0.333 0.500
Ti 0.000 0.000 0.500
Se 0.758 0.758 0.693
Se 0.070 0.379 0.695
Se 0.242 0.242 0.307
Se 0.379 0.070 0.695
Se 0.930 0.621 0.305
Se 0.621 0.930 0.305


Record 6
A plane-wave DFT calculation with GGA-PBE was carried out for a geometry-optimized LiRe2Pt structure.

D(E_F)	4.06	states/eV per cell
energy of formation from the pure elements	125.4	kJ/mol of formula units
electronic total energy	-7.888	eV/atom

Cell lengths 2.635, 2.635, 8.605 Å; angles 90.00, 90.00, 90.00 degrees
Positions (direct):
Li 0.500 0.500 0.250
Pt 0.500 0.500 0.750
Re 0.000 0.000 0.997
Re 0.000 0.000 0.503


Record 7
A plane-wave DFT calculation with GGA-PBE was carried out for a geometry-optimized KCr2Cu2Se6 structure.

D(E_F)	6.49	states/eV per cell
E_form (uncorrected)	-0.363	eV/atom
electronic total energy	-4.858	eV/atom

Cell lengths 6.750, 7.718, 7.276 Å; angles 121.31, 89.93, 57.06 degrees
Last column: magnetic moment on the atom in μB.
Positions (direct):
K 0.500 0.000 0.500  0.00
Cr 0.838 0.333 0.848  2.49
Cr 0.162 0.667 0.152  2.49
Cu 0.309 0.584 0.705  -0.14
Cu 0.691 0.416 0.295  -0.14
Se 0.408 0.764 0.034  -0.20
Se 0.026 0.394 0.143  -0.18
Se 0.199 0.812 0.548  -0.16
Se 0.974 0.606 0.857  -0.18
Se 0.801 0.188 0.452  -0.16
Se 0.592 0.236 0.966  -0.20


Record 8
A plane-wave DFT calculation with GGA-PBE was carried out for a geometry-optimized CdP2PbO6 structure.

D(E_F)	1.43	states/eV per cell
E_form (uncorrected)	-1.495	eV/atom
electronic total energy	-6.014	eV/atom

Cell lengths 5.399, 5.399, 6.901 Å; angles 66.97, 66.97, 60.00 degrees
Last column: magnetic moment on the atom in μB.
Positions (direct):
Cd 0.500 0.500 0.500  0.04
P 0.739 0.739 0.784  0.21
P 0.261 0.261 0.216  0.21
Pb 0.000 0.000 0.000  0.01
O 0.044 0.487 0.721  0.12
O 0.748 0.044 0.721  0.12
O 0.513 0.252 0.279  0.12
O 0.956 0.513 0.279  0.12
O 0.252 0.956 0.279  0.12
O 0.487 0.748 0.721  0.12